The following is a meta-GGA SCAN calculation of a PBEsol-optimized structure of MgV3O7, from Alexandria via LeMat-Bulk.

Calculated values
Crystal system: orthorhombic
VASP energy, eV per cell: -523.11
E_form (uncorrected), eV/atom: -2.702

a = 10.0247 Å, b = 10.0199 Å, c = 5.2183 Å
α = 90.00°, β = 90.00°, γ = 90.00°
Closest atoms and distances in Å follow each position.
Space group Pnma (No. 62)
One atom of each set of equivalent atoms:
Mg: 0.0790 0.2500 0.1535 [4 per cell]  5 O 2.04-2.18
V: 0.1831 0.5273 0.7080 [8 per cell]  1 O 1.63
V: 0.2153 0.7500 0.1989 [4 per cell]  1 O 1.63
O: 0.0345 0.5936 0.7241 [8 per cell]  1 V 1.63
O: 0.0529 0.7500 0.1786 [4 per cell]  1 V 1.63
O: 0.2126 0.1208 0.9474 [8 per cell]  3 V 1.95-1.97, 1 Mg 2.15
O: 0.2150 0.1184 0.4673 [8 per cell]  3 V 1.92-1.95

***

The following is a meta-GGA SCAN calculation of a PBEsol-optimized structure of LiCaSn2, from Alexandria via LeMat-Bulk.

Calculated values
Crystal system: cubic
Formation enthalpy at 0 K, kJ/mol of atoms: -47
VASP energy, eV per cell: -343.33
D(E_F), states/eV per atom: 0.30

a = 7.2904 Å, b = 7.2904 Å, c = 7.2904 Å
α = 90.00°, β = 90.00°, γ = 90.00°
Closest atoms and distances in Å follow each position.
Space group Fm-3m (No. 225)
One atom of each set of equivalent atoms:
Li: 0.0000 0.0000 0.0000 [4 per cell]  8 Sn 3.16
Ca: 0.0000 0.0000 0.5000 [4 per cell]  8 Sn 3.16
Sn: 0.2500 0.2500 0.2500 [8 per cell]  4 Li 3.16, 4 Ca 3.16

***

The following is a meta-GGA SCAN calculation of a PBEsol-optimized structure of Ni2PPt, from Alexandria via LeMat-Bulk.

Calculated values
Crystal system: trigonal
Formation enthalpy at 0 K, kJ/mol of atoms: -1
VASP energy, eV per cell: -338.92
D(E_F), states/eV per atom: 0.42

a = 2.7502 Å, b = 2.7502 Å, c = 22.5617 Å
α = 90.00°, β = 90.00°, γ = 120.00°
Closest atoms and distances in Å follow each position.
Space group R3m (No. 160, hexagonal axes)
One atom of each set of equivalent atoms:
Ni: 0.0000 0.0000 0.0000 [3 per cell]  9 Ni 2.50-2.75, 3 Pt 2.63
Ni: 0.0000 0.0000 0.2478 [3 per cell]  3 P 2.21
P: 0.0000 0.0000 0.5127 [3 per cell]  3 Ni 2.21
Pt: 0.0000 0.0000 0.7594 [3 per cell]  3 P 2.52, 3 Ni 2.63, 6 Pt 2.75

***

The following is a meta-GGA SCAN calculation of a PBEsol-optimized structure of Ba2TlRhAu, from Alexandria via LeMat-Bulk.

Calculated values
Crystal system: tetragonal
Formation enthalpy at 0 K, kJ/mol of atoms: 15
VASP energy, eV per cell: -253.60
D(E_F), states/eV per atom: 0.76

a = 5.9835 Å, b = 5.9835 Å, c = 5.1160 Å
α = 90.00°, β = 90.00°, γ = 90.00°
Closest atoms and distances in Å follow each position.
Space group P4/mmm (No. 123)
One atom of each set of equivalent atoms:
Ba: 0.0000 0.5000 0.0000 [2 per cell]  2 Au 2.99
Tl: 0.0000 0.0000 0.5000 [1 per cell]  2 Au 2.56
Rh: 0.5000 0.5000 0.5000 [1 per cell]  8 Ba 3.94, 4 Tl 4.23
Au: 0.0000 0.0000 0.0000 [1 per cell]  2 Tl 2.56

***

Question: Number 2 is which compound?
Answer: LiCaSn2

***

Question: The lowest VASP energy belongs to which entry?
Answer: MgV3O7

***

Question: VASP energy of number 4 (Ba2TlRhAu)?
Answer: -253.60 eV per cell

***

Question: Which formula does entry 2 have?
Answer: LiCaSn2